## a
An optimized crystal structure of NdTmHg4. Source: Alexandria via LeMat-Bulk, functional PBE.

Properties
density = 12.03 g cm⁻³

Unit cell a=10.5880 b=3.8746 c=8.0435 alpha=90.00 beta=111.10 gamma=90.00
Space group C2/m (No. 12)
Unique sites:
1 Nd 0.0000 0.0000 0.0000 x2
2 Tm 0.0000 0.0000 0.5000 x2
3 Hg 0.1665 0.5000 0.8200 x4
4 Hg 0.1678 0.5000 0.3444 x4



## b
An optimized crystal structure of NdTmHg4. Source: Alexandria via LeMat-Bulk, functional PBE.

Properties
density = 10.46 g cm⁻³

Unit cell a=4.5258 b=4.5395 c=8.6217 alpha=90.00 beta=90.00 gamma=90.00
Space group Pmmm (No. 47)
Unique sites:
1 Nd 0.0000 0.0000 0.0000 x1
2 Tm 0.5000 0.5000 0.5000 x1
3 Hg 0.0000 0.5000 0.2621 x2
4 Hg 0.5000 0.0000 0.2630 x2



Out of the structures above, which one is the least stable? Solution: b.